Here is V2TcO4 after structural relaxation from Alexandria. Energies are from GGA+U.

Calculated values
Mass density: 5.1 g cm⁻³
E_tot: -51.5 eV per formula unit
SG: I4/mmm (139)

Unit cell a=6.234 b=6.234 c=6.234 alpha=143.31 beta=143.31 gamma=52.85
Element x y z (fractional)
V1 0.147 0.147 0.000
V2 0.853 0.853 0.000
Tc1 0.500 0.500 0.000
O1 0.000 0.500 0.500
O2 0.318 0.318 0.000
O3 0.500 0.000 0.500
O4 0.682 0.682 0.000